[1]
DFT (GGA-PBE) results for a geometry-optimized K3Np2PaTe6 structure.

Values from the calculation:
Mass density: 6.01 Mg/m³
Crystal system: monoclinic
Uncorrected energy: -5.7074 eV per atom

```
12
Lattice="7.806 -0.001 0.000 -3.902 6.761 0.000 -1.302 -2.254 8.312" Properties=species:S:1:pos:R:3 pbc="T T T"
Np 3.903 2.254 0.000
Np 0.002 4.507 0.000
Te -0.019 -0.033 6.546
Te 2.565 -0.001 1.764
Te 3.885 2.284 6.547
Te 2.622 4.539 1.766
Te -1.283 2.222 1.764
Te 0.037 4.507 6.547
K -2.588 4.499 4.156
K 5.190 0.007 4.156
K 1.301 2.253 4.156
Pa 0.000 0.000 0.000
```

[2]
DFT (GGA-PBE) results for a geometry-optimized Er3Ga2 structure.

Values from the calculation:
Mass density: 8.71 Mg/m³
Crystal system: tetragonal
Formation energy from the elements: -0.55 eV per atom

```
40
Lattice="-4.243 -6.187 8.026 -0.130 -7.896 -7.637 9.685 4.774 2.022" Properties=species:S:1:pos:R:3 pbc="T T T"
Er 2.084 -2.758 5.081
Er 1.232 -8.037 2.564
Er 4.081 -1.271 -0.153
Er 5.263 -1.475 5.775
Er -0.477 -9.682 -0.217
Er 0.978 -2.451 -1.760
Er 4.602 -3.452 2.733
Er 1.172 -5.696 5.162
Er 0.711 -5.857 -0.323
Er -2.077 -4.812 6.160
Er -1.130 -5.206 2.556
Er 1.151 -2.409 1.713
Er 7.389 -4.496 -3.749
Er 3.104 -2.829 8.440
Er 4.334 -6.858 4.171
Er 3.228 -6.550 -2.670
Er 0.050 -7.834 -3.364
Er 4.161 -6.900 0.697
Er 5.790 0.373 2.628
Er 2.209 -6.479 -6.029
Er 6.443 -4.103 -0.145
Er 7.631 -0.278 -0.251
Er -2.318 -9.031 2.662
Er 4.141 -3.613 -2.751
Ga 4.498 -4.343 5.887
Ga 0.686 -4.612 7.914
Ga -0.815 -2.736 4.317
Ga 3.208 -0.909 3.169
Ga 3.170 -4.091 0.045
Ga 2.143 -5.217 2.366
Ga 4.626 -4.697 -5.503
Ga -1.093 -3.521 0.097
Ga 6.127 -6.572 -1.906
Ga 2.104 -8.400 -0.758
Ga 0.815 -4.966 -3.476
Ga -2.186 -7.041 0.194
Ga 6.554 -2.098 -2.282
Ga -3.280 -10.562 0.292
Ga 0.000 0.000 0.000
Ga -1.242 -7.211 4.693
```

[3]
DFT (GGA-PBE) results for a geometry-optimized KSrY2 structure.

Values from the calculation:
Mass density: 2.98 Mg/m³
Crystal system: orthorhombic
E above lowest polymorph: 1.09 eV per formula unit
Formation energy from the elements: 0.48 eV per atom

```
4
Lattice="-2.962 2.058 0.832 -2.325 -4.667 3.270 3.466 2.530 6.075" Properties=species:S:1:pos:R:3 pbc="T T T"
Sr -0.044 0.593 6.608
Y 1.786 1.304 3.131
Y 3.412 2.491 5.981
K -1.777 -0.672 3.570
```

[4]
DFT (GGA-PBE) results for a geometry-optimized LuPa5 structure.

Values from the calculation:
Mass density: 14.55 Mg/m³
Crystal system: orthorhombic
Formation energy from the elements: 0.11 eV per atom

```
6
Lattice="-2.164 -1.311 -2.026 -2.000 -3.121 4.155 -4.484 7.637 -0.153" Properties=species:S:1:pos:R:3 pbc="T T T"
Lu 0.000 0.000 0.000
Pa -3.017 1.488 -0.334
Pa -2.756 0.385 2.693
Pa -2.082 -2.216 1.064
Pa -3.728 4.131 1.308
Pa -5.631 1.717 2.309
```

[5]
DFT (GGA-PBE) results for a geometry-optimized Sr2EuN structure.

Values from the calculation:
Mass density: 4.12 Mg/m³
Crystal system: trigonal
Uncorrected energy: -5.8182 eV per atom

```
4
Lattice="3.840 0.000 0.000 1.920 3.326 0.000 1.920 1.109 10.777" Properties=species:S:1:pos:R:3 pbc="T T T"
N 3.840 2.217 5.388
Eu 0.000 0.000 0.000
Sr 5.761 3.326 4.011
Sr 1.920 1.109 6.766
```

[6]
DFT (GGA-PBE) results for a geometry-optimized RbCuOs2Pb structure.

Values from the calculation:
Mass density: 8.84 Mg/m³
Crystal system: tetragonal
Formation energy from the elements: 3.41 eV per atom

```
5
Lattice="4.894 0.000 0.000 0.000 5.777 0.000 0.000 0.000 4.894" Properties=species:S:1:pos:R:3 pbc="T T T"
Rb 0.000 0.000 0.000
Cu 2.447 2.889 2.447
Os 2.447 0.000 0.000
Os 0.000 0.000 2.447
Pb 0.000 2.889 0.000
```

[7]
DFT (GGA-PBE) results for a geometry-optimized BiTe2As2 structure.

Values from the calculation:
Mass density: 7.37 Mg/m³
Crystal system: tetragonal
E above lowest polymorph: 0.55 eV per formula unit

```
10
Lattice="-6.634 0.439 -5.586 2.981 -7.053 -4.095 -2.005 -2.133 2.214" Properties=species:S:1:pos:R:3 pbc="T T T"
As -2.611 -2.178 -1.421
As -3.046 -6.569 -6.046
As -0.161 -5.768 -2.661
As -5.497 -2.979 -4.807
Te -3.896 -0.828 -4.327
Te 0.243 -5.786 -5.354
Te -0.033 -2.339 -2.284
Te -3.620 -4.274 -7.398
Bi 0.000 0.000 0.000
Bi -1.826 -3.307 -4.841
```

[8]
DFT (GGA-PBE) results for a geometry-optimized MnNb2ZnW structure.

Values from the calculation:
Mass density: 8.61 Mg/m³
Crystal system: tetragonal
Formation energy from the elements: 0.91 eV per atom

```
5
Lattice="4.595 0.000 0.000 0.000 4.478 0.000 0.000 0.000 4.595" Properties=species:S:1:pos:R:3 pbc="T T T"
W 0.000 2.239 0.000
Nb 2.298 0.000 0.000
Nb 0.000 0.000 2.298
Mn 0.000 0.000 0.000
Zn 2.298 2.239 2.298
```

[9]
DFT (GGA-PBE) results for a geometry-optimized YReAgC2 structure.

Values from the calculation:
Mass density: 6.69 Mg/m³
Crystal system: tetragonal
Formation energy from the elements: 3.02 eV per atom

```
5
Lattice="-4.120 -1.285 0.712 1.685 -3.332 3.740 -0.460 3.142 3.007" Properties=species:S:1:pos:R:3 pbc="T T T"
Y 0.000 0.000 0.000
Ag -1.447 -0.737 3.729
Re 0.843 -1.666 1.870
C -2.060 -0.642 0.356
C -0.230 1.571 1.503
```

[10]
DFT (GGA-PBE) results for a geometry-optimized BaY3Hg structure.

Values from the calculation:
Mass density: 5.32 Mg/m³
Crystal system: cubic
E above lowest polymorph: 4.79 eV per formula unit
Formation energy from the elements: 1.05 eV per atom

```
5
Lattice="5.737 0.000 0.000 0.000 5.737 0.000 0.000 0.000 5.737" Properties=species:S:1:pos:R:3 pbc="T T T"
Y 2.869 0.000 0.000
Y 0.000 0.000 2.869
Y 0.000 2.869 0.000
Ba 0.000 0.000 0.000
Hg 2.869 2.869 2.869
```

[11]
DFT (GGA-PBE) results for a geometry-optimized ErB2Rh7 structure.

Values from the calculation:
Mass density: 9.93 Mg/m³
Crystal system: orthorhombic
Formation energy from the elements: -0.10 eV per atom

```
10
Lattice="4.124 0.000 0.000 0.000 6.329 0.168 0.000 -2.641 5.754" Properties=species:S:1:pos:R:3 pbc="T T T"
Rh 2.062 -0.507 1.881
Rh 0.000 3.671 1.823
Rh 2.062 1.844 2.961
Rh 2.062 4.195 4.042
Rh 2.062 1.912 0.374
Rh 0.000 0.017 4.099
Rh 2.062 1.776 5.548
Er 0.000 0.000 0.000
B 2.062 3.668 1.825
B 2.062 0.020 4.097
```

[12]
DFT (GGA-PBE) results for a geometry-optimized TlNi2TeS structure.

Values from the calculation:
Mass density: 7.24 Mg/m³
Crystal system: monoclinic
Uncorrected energy: -4.4704 eV per atom

```
10
Lattice="3.838 0.000 0.000 0.000 7.900 0.542 0.000 -2.337 7.125" Properties=species:S:1:pos:R:3 pbc="T T T"
Ni 0.960 1.924 6.534
Ni 2.879 2.412 4.677
Ni 0.960 3.152 2.989
Ni 2.879 3.640 1.133
S 0.960 2.549 0.851
S 2.879 3.014 6.816
Tl 0.960 6.919 1.761
Tl 2.879 -1.355 5.905
Te 2.879 4.720 3.500
Te 0.960 0.844 4.167
```